Computed, not measured: an optimized crystal structure of NdPuSnPd at the PBE-GGA level of DFT.

Output
As for the total moment: 5.5 μB/cell. Its symmetry is F-43m, No. 216. The formation energy is -448.7 meV/atom. The crystal system is cubic. The value obtained for the density of states at the Fermi level is 11.80 states/eV/cell. As for the electronic total energy: -7.523 eV/atom.

Unit cell a=5.277 b=5.277 c=5.277 alpha=60.00 beta=60.00 gamma=60.00
Site moments in Bohr magnetons follow the coordinates.
Atoms (fractional coordinates):
1 Nd 0.500 0.500 0.500  0.04
2 Sn 0.250 0.250 0.250  -0.07
3 Pd 0.750 0.750 0.750  -0.06
4 Pu 0.000 0.000 0.000  5.34